TlAgHgCl6 after structural relaxation, computed with PBE-GGA.

abc: 6.492 6.492 11.870
angles: 90.00 90.00 90.00
Element x y z (fractional)
1 Tl 0.500 0.500 0.835
2 Tl 0.000 0.000 0.335
3 Ag 0.500 0.500 0.168
4 Ag 0.000 0.000 0.668
5 Hg 0.500 0.500 0.498
6 Hg 0.000 0.000 0.998
7 Cl 0.192 0.808 0.497
8 Cl 0.808 0.192 0.497
9 Cl 0.308 0.308 0.997
10 Cl 0.692 0.692 0.997
11 Cl 0.191 0.809 0.169
12 Cl 0.809 0.191 0.169
13 Cl 0.309 0.309 0.669
14 Cl 0.691 0.691 0.669
15 Cl 0.802 0.198 0.834
16 Cl 0.198 0.802 0.834
17 Cl 0.698 0.698 0.334
18 Cl 0.302 0.302 0.334

## Properties
total moment	0.0	μB per cell
formation energy (no corrections)	-54	kJ per mole of atoms
DFT total energy	-2.407	eV per atom